Record 1
Compound: ScAl2In2
Source: Alexandria
Functional: PBE
Structure: relaxed

```
ScAl2In2
1.0
3.959 0.000 0.000
0.000 3.959 0.000
1.980 1.980 7.221
Sc Al In
1 2 2
direct
0.000 0.000 0.000
0.750 0.250 0.500
0.250 0.750 0.500
0.397 0.397 0.206
0.603 0.603 0.794
```

Calculated values
formation energy from the elements: 0.0575 eV per atom
raw total energy: -19.01 eV for the cell shown
energy above the most stable polymorph in this dataset: 0.0904 eV/atom
crystal system: tetragonal
V: 22.64 A^3/atom


Record 2
Compound: K2TcHgBi
Source: Alexandria
Functional: PBE
Structure: relaxed

```
K2TcHgBi
1.0
6.356 0.000 0.000
0.000 5.289 0.000
0.000 0.000 6.356
Bi Hg K Tc
1 1 2 1
direct
0.500 0.500 0.500
0.000 0.500 0.000
0.500 0.000 0.000
0.000 0.000 0.500
0.000 0.000 0.000
```

Calculated values
formation energy from the elements: 0.9429 eV per atom
raw total energy: -12.03 eV for the cell shown
crystal system: tetragonal
V: 42.74 A^3/atom